Here is FePd3Se after structural relaxation from the Alexandria database. Energies are from PBE.

Cell lengths 4.6310, 4.6310, 4.6310 Å; angles 90.00, 90.00, 90.00 degrees
Space group Pm-3m (No. 221)
One atom of each set of equivalent atoms:
1 Fe 0.0000 0.0000 0.0000 [1 per cell]
2 Pd 0.0000 0.0000 0.5000 [3 per cell]
3 Se 0.5000 0.5000 0.5000 [1 per cell]

Computed properties:
* offset from the most stable computed form: 227 meV per atom
* formation energy without anion corrections: 734.5 meV per atom
* DOS(E_F): 3.34 states/eV/cell
* electronic total energy: -4.77 eV/atom
* total magnetization: 4.49 μB/cell